Re2SbPb: optimized geometry, PBE.

formation energy without anion corrections: 1482 meV per atom
spin magnetization: 0.99 μB per formula unit
space group: I-42d, No. 122

a b c (Å): 7.762 7.762 6.183
angles (deg): 51.13 51.13 90.00
Last column: magnetic moment on the atom in μB.
Sites, in units of the cell vectors:
Pb  0.000  0.000  0.000  0.00
Pb  0.750  0.250  0.500  0.00
Re  0.583  0.125  0.250  0.44
Re  0.167  0.625  0.250  0.44
Re  0.375  0.417  0.750  0.44
Re  0.875  0.833  0.750  0.44
Sb  0.500  0.500  0.000  -0.01
Sb  0.250  0.750  0.500  -0.01